Record 1
Computed, not measured: an optimized crystal structure of Fe3Mo2 at the GGA-PBE level of DFT.

Cell and atoms, written as extended XYZ:
```
5
Lattice="4.0232 0.0000 0.0000 -2.0116 3.4842 0.0000 0.0000 0.0000 5.0147" Properties=species:S:1:pos:R:3 pbc="T T T"
Fe 0.0000 0.0000 0.0000
Fe 0.0000 2.3228 1.7026
Fe 2.0116 1.1614 3.3121
Mo 0.0000 2.3228 4.0608
Mo 2.0116 1.1614 0.9539
```

Energy   -8.88 eV per atom
Excess energy over the best structure of this formula in the dataset   1.79 eV/f.u.
Formation energy   0.530 eV per atom
V   70.3 Å³ per cell

---

Record 2
Computed, not measured: an optimized crystal structure of Fe3Mo at the GGA-PBE level of DFT.

Cell and atoms, written as extended XYZ:
```
4
Lattice="2.5572 0.0000 0.0000 0.0000 4.1339 0.0000 -0.8960 0.0000 4.7866" Properties=species:S:1:pos:R:3 pbc="T T T"
Fe 0.0000 0.0000 0.0000
Fe -0.0565 2.0669 3.6337
Fe 1.7178 2.0669 1.1528
Mo 0.8306 0.0000 2.3933
```

Energy   -8.98 eV per atom
Formation energy   0.071 eV per atom
V   50.6 Å³ per cell

---

Record 3
Computed, not measured: an optimized crystal structure of Fe3Mo at the GGA-PBE level of DFT.

Cell and atoms, written as extended XYZ:
```
4
Lattice="2.5693 0.0000 0.0000 0.0000 4.1176 0.0000 0.0000 0.0000 4.5037" Properties=species:S:1:pos:R:3 pbc="T T T"
Fe 0.0000 0.0000 0.0000
Fe 0.0000 2.0588 1.4121
Fe 1.2847 0.0000 2.0837
Mo 1.2847 2.0588 3.6491
```

Energy   -8.90 eV per atom
Formation energy   0.159 eV per atom
V   47.6 Å³ per cell

---

Record 4
Computed, not measured: an optimized crystal structure of Fe5Mo3 at the GGA-PBE level of DFT.

Cell and atoms, written as extended XYZ:
```
16
Lattice="7.3633 0.0000 0.0000 0.0000 7.5874 0.0000 0.0000 0.0000 3.6674" Properties=species:S:1:pos:R:3 pbc="T T T"
Fe 0.0000 0.0000 0.0000
Fe 1.7909 0.0000 1.8337
Fe 1.8408 1.8968 0.0000
Fe 1.8408 5.6905 0.0000
Fe 1.8907 3.7937 1.8337
Fe 3.6817 3.7937 0.0000
Fe 5.4726 3.7937 1.8337
Fe 5.5225 1.8968 0.0000
Fe 5.5225 5.6905 0.0000
Fe 5.5724 0.0000 1.8337
Mo 0.0000 1.7922 1.8337
Mo 0.0000 3.7937 0.0000
Mo 0.0000 5.7952 1.8337
Mo 3.6817 0.0000 0.0000
Mo 3.6817 2.0015 1.8337
Mo 3.6817 5.5859 1.8337
```

Energy   -9.21 eV per atom
Excess energy over the best structure of this formula in the dataset   0.00 eV/f.u.
Formation energy   0.141 eV per atom
V   204.9 Å³ per cell

---

Q: The lowest energy belongs to which entry?
A: Fe5Mo3

---

Q: What is the formation energy in the first record?
A: 0.530 eV per atom